DFT (PBE-GGA) results for a relaxed structure of CaSiS.

Values from the calculation:
- E above lowest polymorph: 55 meV per atom
- Symmetry: No. 160
- Formation energy from raw total energies: -1145 meV per atom

Geometry as extended XYZ:
```
6
Lattice="1.963 1.133 10.376 -1.963 1.133 10.376 0.000 -2.267 10.376" Properties=species:S:1:pos:R:3 pbc="T T T"
Ca 0.000 0.000 0.000
Ca 0.000 0.000 3.520
Si 0.000 0.000 8.116
Si 0.000 0.000 27.989
S 0.000 0.000 22.410
S 0.000 0.000 25.812
```

DFT (PBE-GGA) results for a relaxed structure of Ca2SiS4.

Values from the calculation:
- Symmetry: No. 11
- Formation energy from raw total energies: -1494 meV per atom

Geometry as extended XYZ:
```
14
Lattice="6.475 0.000 0.000 0.000 6.628 0.000 -2.332 0.000 7.387" Properties=species:S:1:pos:R:3 pbc="T T T"
Ca 1.306 1.657 0.387
Ca 0.320 1.657 4.164
Ca 3.823 4.971 3.223
Ca 2.837 4.971 7.001
Si -0.337 4.971 5.950
Si 4.479 1.657 1.437
S -1.641 3.333 5.506
S -1.641 6.608 5.506
S 2.496 4.971 0.615
S 1.323 4.971 4.626
S 2.819 1.657 2.761
S 1.646 1.657 6.772
S 5.783 0.019 1.881
S 5.783 3.295 1.881
```

DFT (PBE-GGA) results for a relaxed structure of CaSiS3.

Values from the calculation:
- Symmetry: No. 221
- Formation energy from raw total energies: 480 meV per atom

Geometry as extended XYZ:
```
5
Lattice="5.187 0.000 0.000 0.000 5.187 0.000 0.000 0.000 5.187" Properties=species:S:1:pos:R:3 pbc="T T T"
Ca 0.000 0.000 0.000
Si 2.593 2.593 2.593
S 0.000 0.000 2.593
S 0.000 2.593 0.000
S 2.593 0.000 0.000
```

DFT (PBE-GGA) results for a relaxed structure of CaSiS3.

Values from the calculation:
- Symmetry: No. 14
- Formation energy from raw total energies: -1096 meV per atom

Geometry as extended XYZ:
```
20
Lattice="6.770 0.000 0.000 0.000 7.347 0.000 -6.127 0.000 9.461" Properties=species:S:1:pos:R:3 pbc="T T T"
Ca -0.231 0.956 2.216
Ca -3.294 2.717 6.946
Ca 3.937 4.630 2.514
Ca 0.873 6.390 7.245
Si 0.844 4.820 0.938
Si -2.220 6.200 5.669
Si 2.863 1.147 3.792
Si -0.201 2.527 8.522
S -5.222 1.457 8.775
S -2.159 2.216 4.045
S -3.911 5.062 8.910
S -0.848 5.958 4.180
S -1.883 0.083 7.277
S 1.180 3.591 2.547
S -0.538 3.756 6.913
S 2.526 7.264 2.183
S 1.490 1.389 5.281
S 4.554 2.285 0.551
S 2.801 5.130 5.416
S 5.865 5.890 0.686
```

DFT (PBE-GGA) results for a relaxed structure of Ca4SiS6.

Values from the calculation:
- Symmetry: No. 9
- Formation energy from raw total energies: -1650 meV per atom

Geometry as extended XYZ:
```
22
Lattice="6.640 -3.631 0.000 6.640 3.631 0.000 -5.062 0.000 12.246" Properties=species:S:1:pos:R:3 pbc="T T T"
Ca -1.304 1.223 9.678
Ca 4.109 2.769 6.123
Ca 4.189 1.363 1.687
Ca 1.227 -1.223 3.555
Ca 3.568 0.910 11.823
Ca 1.658 -1.363 7.811
Ca 6.099 -0.910 5.700
Ca 6.640 -2.769 0.000
Si 2.029 1.994 8.971
Si 4.560 -1.994 2.848
S 1.754 1.489 6.891
S 6.743 2.037 1.137
S 4.114 2.190 9.369
S 1.311 0.256 10.054
S 6.584 1.732 5.808
S 3.842 -0.256 3.931
S 4.285 -1.489 0.768
S 4.212 -2.037 7.261
S 9.952 0.000 3.409
S 7.421 0.000 9.532
S 6.645 -2.190 3.246
S 4.053 -1.732 11.931
```

DFT (PBE-GGA) results for a relaxed structure of Ca2SiS.

Values from the calculation:
- E above lowest polymorph: 53 meV per atom
- Symmetry: No. 225
- Formation energy from raw total energies: -650 meV per atom

Geometry as extended XYZ:
```
4
Lattice="0.000 3.590 3.590 3.590 0.000 3.590 3.590 3.590 0.000" Properties=species:S:1:pos:R:3 pbc="T T T"
Ca 1.795 1.795 1.795
Ca 5.385 5.385 5.385
Si 0.000 0.000 0.000
S 3.590 3.590 3.590
```

DFT (PBE-GGA) results for a relaxed structure of Ca3Si5S12.

Values from the calculation:
- Symmetry: No. 230
- Formation energy from raw total energies: -923 meV per atom

Geometry as extended XYZ:
```
80
Lattice="-7.430 7.430 7.430 7.430 -7.430 7.430 7.430 7.430 -7.430" Properties=species:S:1:pos:R:3 pbc="T T T"
Ca 3.715 1.858 0.000
Ca 7.430 3.715 -1.858
Ca 1.858 0.000 3.715
Ca 9.288 0.000 3.715
Ca 0.000 3.715 1.858
Ca 3.715 -1.858 7.430
Ca 3.715 9.288 0.000
Ca 7.430 3.715 5.573
Ca -1.858 7.430 3.715
Ca 5.573 7.430 3.715
Ca 0.000 3.715 9.288
Ca 3.715 5.573 7.430
Si 0.000 0.000 0.000
Si 3.715 3.715 -3.715
Si 3.715 -3.715 3.715
Si 7.430 0.000 0.000
Si 11.146 1.858 0.000
Si 7.430 -3.715 5.573
Si 5.573 7.430 -3.715
Si 5.573 0.000 3.715
Si 3.715 5.573 0.000
Si 7.430 3.715 1.858
Si -3.715 3.715 3.715
Si 0.000 7.430 0.000
Si 0.000 0.000 7.430
Si 3.715 3.715 3.715
Si 0.000 3.715 5.573
Si 3.715 1.858 7.430
Si 1.858 7.430 3.715
Si 1.858 0.000 11.146
Si 0.000 11.146 1.858
Si -3.715 5.573 7.430
S 2.248 -0.491 0.819
S 8.898 4.534 -4.207
S 9.678 0.491 0.819
S 8.898 -2.896 4.207
S 6.939 -0.819 2.248
S 11.637 -1.467 2.896
S 0.819 2.248 -0.491
S 10.327 3.224 -1.467
S 4.534 4.207 -1.467
S 6.612 2.248 0.491
S -0.491 0.819 2.248
S 4.207 -1.467 4.534
S 6.939 6.612 -2.248
S 4.207 1.467 2.896
S 4.534 -4.207 8.898
S 6.612 -2.248 6.939
S 2.896 4.207 1.467
S 8.249 5.183 0.491
S 4.207 8.898 -2.896
S 6.939 0.819 5.183
S 2.248 6.939 -0.819
S 8.898 2.896 3.224
S 1.467 2.896 4.207
S 2.248 0.491 6.612
S 5.183 6.939 0.819
S 5.963 4.534 3.224
S -1.467 4.534 4.207
S 5.183 0.491 8.249
S 0.491 6.612 2.248
S 3.224 -1.467 10.327
S -0.819 2.248 6.939
S 4.534 3.224 5.963
S 0.819 9.678 0.491
S 2.896 11.637 -1.467
S 3.224 5.963 4.534
S 0.491 0.819 9.678
S 3.224 8.898 2.896
S 7.922 6.612 5.183
S 0.819 5.183 6.939
S 2.896 3.224 8.898
S -2.896 4.207 8.898
S 6.612 5.183 7.922
S -4.207 8.898 4.534
S 0.491 8.249 5.183
S -1.467 10.327 3.224
S -2.248 6.939 6.612
S -1.467 2.896 11.637
S 5.183 7.922 6.612
```

DFT (PBE-GGA) results for a relaxed structure of Ca2SiS4.

Values from the calculation:
- Symmetry: No. 62
- Formation energy from raw total energies: -1552 meV per atom

Geometry as extended XYZ:
```
28
Lattice="13.713 0.000 0.000 0.000 8.223 0.000 0.000 0.000 6.241" Properties=species:S:1:pos:R:3 pbc="T T T"
Ca 0.000 0.000 0.000
Ca 0.000 4.111 0.000
Ca 3.110 2.056 3.024
Ca 3.747 6.167 6.145
Ca 6.857 0.000 3.121
Ca 6.857 4.111 3.121
Ca 9.966 2.056 0.096
Ca 10.603 6.167 3.217
Si 1.287 6.167 2.532
Si 5.570 2.056 5.652
Si 8.143 6.167 0.589
Si 12.427 2.056 3.709
S 0.717 2.056 4.504
S 1.287 6.167 4.659
S 2.289 4.471 1.670
S 2.289 7.863 1.670
S 4.567 0.360 4.791
S 4.567 3.752 4.791
S 5.570 2.056 1.539
S 6.139 6.167 1.384
S 7.574 2.056 4.858
S 8.143 6.167 4.702
S 9.146 4.471 1.450
S 9.146 7.863 1.450
S 11.424 0.360 4.571
S 11.424 3.752 4.571
S 12.426 2.056 1.582
S 12.996 6.167 1.737
```

DFT (PBE-GGA) results for a relaxed structure of CaSiS2.

Values from the calculation:
- Symmetry: No. 122
- Formation energy from raw total energies: -749 meV per atom

Geometry as extended XYZ:
```
8
Lattice="-2.865 2.865 6.606 2.865 -2.865 6.606 2.865 2.865 -6.606" Properties=species:S:1:pos:R:3 pbc="T T T"
Ca 0.000 0.000 0.000
Ca 0.000 2.865 3.303
Si 2.865 0.000 3.303
Si 0.000 0.000 6.606
S 1.432 -1.188 4.954
S 1.677 1.432 1.651
S 1.432 4.053 -1.651
S 1.188 1.432 8.257
```

DFT (PBE-GGA) results for a relaxed structure of CaSiS.

Values from the calculation:
- E above lowest polymorph: 0 meV per atom
- Symmetry: No. 160
- Formation energy from raw total energies: -1199 meV per atom

Geometry as extended XYZ:
```
6
Lattice="1.983 1.145 10.041 -1.983 1.145 10.041 0.000 -2.290 10.041" Properties=species:S:1:pos:R:3 pbc="T T T"
Ca 0.000 0.000 0.000
Ca 0.000 0.000 6.695
Si 0.000 0.000 12.232
Si 0.000 0.000 23.101
S 0.000 0.000 18.486
S 0.000 0.000 25.282
```

DFT (PBE-GGA) results for a relaxed structure of Ca3SiS.

Values from the calculation:
- E above lowest polymorph: 0 meV per atom
- Symmetry: No. 221
- Formation energy from raw total energies: -813 meV per atom

Geometry as extended XYZ:
```
5
Lattice="5.236 0.000 0.000 0.000 5.236 0.000 0.000 0.000 5.236" Properties=species:S:1:pos:R:3 pbc="T T T"
Ca 0.000 0.000 2.618
Ca 0.000 2.618 0.000
Ca 2.618 0.000 0.000
Si 2.618 2.618 2.618
S 0.000 0.000 0.000
```

DFT (PBE-GGA) results for a relaxed structure of Ca2SiS.

Values from the calculation:
- E above lowest polymorph: 0 meV per atom
- Symmetry: No. 122
- Formation energy from raw total energies: -703 meV per atom

Geometry as extended XYZ:
```
8
Lattice="-3.806 3.806 3.700 3.806 -3.806 3.700 3.806 3.806 -3.700" Properties=species:S:1:pos:R:3 pbc="T T T"
Ca 1.903 1.692 -0.925
Ca 2.114 -1.903 4.626
Ca 1.903 2.114 2.775
Ca 1.692 5.709 0.925
Si 3.806 0.000 1.850
Si 0.000 0.000 3.700
S 0.000 0.000 0.000
S 0.000 3.806 1.850
```

DFT (PBE-GGA) results for a relaxed structure of Ca2SiS4.

Values from the calculation:
- Symmetry: No. 15
- Formation energy from raw total energies: -1500 meV per atom

Geometry as extended XYZ:
```
14
Lattice="3.746 -6.051 0.000 3.746 6.051 0.000 -3.740 0.000 7.577" Properties=species:S:1:pos:R:3 pbc="T T T"
Ca 0.941 5.163 5.683
Ca 2.811 2.133 1.894
Ca 0.941 -2.133 5.683
Ca 2.811 -5.163 1.894
Si 0.941 1.516 5.683
Si 2.811 -1.516 1.894
S -0.286 2.856 6.816
S -0.285 0.174 4.550
S 1.586 -0.174 0.761
S 2.167 2.856 4.550
S 1.585 -2.856 3.027
S 2.166 0.174 6.816
S 4.037 -0.174 3.027
S 4.038 -2.856 0.762
```

DFT (PBE-GGA) results for a relaxed structure of CaSiS2.

Values from the calculation:
- Symmetry: No. 166
- Formation energy from raw total energies: -600 meV per atom

Geometry as extended XYZ:
```
4
Lattice="2.061 1.190 7.421 -2.061 1.190 7.421 0.000 -2.380 7.421" Properties=species:S:1:pos:R:3 pbc="T T T"
Ca 0.000 0.000 0.000
Si 0.000 0.000 11.131
S 0.000 0.000 8.910
S 0.000 0.000 13.353
```

DFT (PBE-GGA) results for a relaxed structure of CaSiS.

Values from the calculation:
- E above lowest polymorph: 28 meV per atom
- Symmetry: No. 156
- Formation energy from raw total energies: -1171 meV per atom

Geometry as extended XYZ:
```
6
Lattice="3.947 0.000 0.000 -1.974 3.418 0.000 0.000 0.000 10.165" Properties=species:S:1:pos:R:3 pbc="T T T"
Ca 0.000 0.000 0.000
Ca 0.000 2.279 3.410
Si 0.000 2.279 7.974
Si 1.974 1.139 7.138
S 1.974 1.139 1.607
S 1.974 1.139 4.954
```

DFT (PBE-GGA) results for a relaxed structure of CaSiS.

Values from the calculation:
- E above lowest polymorph: 7 meV per atom
- Symmetry: No. 156
- Formation energy from raw total energies: -1192 meV per atom

Geometry as extended XYZ:
```
6
Lattice="3.961 0.000 0.000 -1.981 3.430 0.000 0.000 0.000 10.149" Properties=species:S:1:pos:R:3 pbc="T T T"
Ca 0.000 0.000 0.000
Ca 0.000 2.287 6.802
Si 0.000 0.000 4.544
Si 0.000 2.287 3.668
S 0.000 2.287 1.495
S 1.981 1.143 8.399
```

DFT (PBE-GGA) results for a relaxed structure of CaSi2S4.

Values from the calculation:
- Symmetry: No. 87
- Formation energy from raw total energies: -609 meV per atom

Geometry as extended XYZ:
```
7
Lattice="-3.693 3.693 3.007 3.693 -3.693 3.007 3.693 3.693 -3.007" Properties=species:S:1:pos:R:3 pbc="T T T"
Ca 0.000 0.000 0.000
Si 3.693 0.000 1.503
Si 0.000 3.693 1.503
S 4.866 1.263 0.000
S 1.263 2.520 0.000
S 2.430 1.173 3.007
S -1.173 2.430 3.007
```

DFT (PBE-GGA) results for a relaxed structure of CaSi2S.

Values from the calculation:
- Symmetry: No. 122
- Formation energy from raw total energies: 94 meV per atom

Geometry as extended XYZ:
```
8
Lattice="-3.515 3.515 3.647 3.515 -3.515 3.647 3.515 3.515 -3.647" Properties=species:S:1:pos:R:3 pbc="T T T"
Ca 0.000 0.000 0.000
Ca 0.000 3.515 1.824
Si 1.758 -1.178 2.736
Si 2.337 1.758 0.912
Si 1.758 4.694 -0.912
Si 1.178 1.758 4.559
S 3.515 0.000 1.824
S 0.000 0.000 3.647
```

Final energy for the records above, in order: -4.995 -5.199 -3.481 -5.057 -5.122 -4.038 -5.056 -5.257 -4.669 -5.050 -3.924 -4.092 -5.205 -4.520 -5.022 -5.043 -4.803 -4.150 eV/atom